Crystalline BaY2Sc at its relaxed geometry, computed with PBE-GGA.

Summary:
Total moment in μB/f.u.: 0.0
Formation enthalpy at 0 K in meV/atom: 225
Crystal system: trigonal
D(E_F) in states/eV/cell: 7.0
Relative energy among the computed polymorphs in meV/atom: 72
Uncorrected energy in eV/atom: -5.0707

Cell lengths 12.094, 12.094, 12.094 Å; angles 17.36, 17.36, 17.36 degrees
Atoms (fractional coordinates):
Sc  0.743  0.743  0.743
Ba  0.497  0.497  0.497
Y  0.003  0.003  0.003
Y  0.257  0.257  0.257